MoOs3W | PBE-GGA | optimized geometry

Cell lengths 6.762, 5.522, 8.379 Å; angles 90.00, 73.85, 90.00 degrees
Atoms (fractional coordinates):
Mo1 0.653 0.873 0.538
Mo2 0.347 0.127 0.462
Mo3 0.847 0.373 0.962
Mo4 0.153 0.627 0.038
Os1 0.247 0.877 0.753
Os2 0.753 0.123 0.247
Os3 0.253 0.377 0.747
Os4 0.747 0.623 0.253
Os5 0.648 0.379 0.550
Os6 0.352 0.621 0.450
Os7 0.852 0.879 0.950
Os8 0.148 0.121 0.050
Os9 0.051 0.879 0.348
Os10 0.949 0.121 0.652
Os11 0.449 0.379 0.152
Os12 0.551 0.621 0.848
W1 0.549 0.130 0.844
W2 0.451 0.870 0.156
W3 0.951 0.630 0.656
W4 0.049 0.370 0.344

Summary:
Space group = P2_1/c
Offset from the most stable computed form = 0.0 meV per atom
Crystal system = monoclinic
Energy of formation from the pure elements = 0.057 eV per atom